This record from the Alexandria database describes a relaxed LaCdBiF2 crystal. The functional is GGA-PBE.

abc: 4.572 4.572 6.949
angles: 90.00 90.00 90.00
Element x y z (fractional)
1 F 0.000 0.500 0.000
2 F 0.500 0.000 0.000
3 Cd 0.500 0.500 0.500
4 Bi 0.000 0.000 0.500
5 La 0.000 0.000 0.000

Summary:
SG: No. 123
ρ, g/cm³: 5.70
E, Ry/atom: -0.3599